A plane-wave DFT calculation with GGA-PBE was carried out for a relaxed structure of PaTi2CoN4.

Values from the calculation:
Formation energy from raw total energies ... -1.294 eV per atom
Space-group type ... Cmcm (63)

Lattice parameters (Å, degrees): 3.1442 5.4704 10.4856 90.00 90.00 106.70
Last column: nearest neighbours and their distance in Å.
Sites, in units of the cell vectors:
Co (0.8440, 0.6880, 0.7500)  4 N 1.89-1.91
N (0.0000, 0.0000, 0.0000)  4 Ti 2.15
N (0.7253, 0.4506, 0.8860)  1 Co 1.89, 1 Ti 2.01
Pa (0.1080, 0.2159, 0.7500)  6 N 2.30-2.45
Ti (0.3698, 0.7396, 0.9474)  4 N 2.01-2.22
Pa (0.8920, 0.7841, 0.2500)  6 N 2.30-2.45
Ti (0.3698, 0.7396, 0.5526)  4 N 2.01-2.22
Ti (0.6302, 0.2604, 0.0526)  4 N 2.01-2.22
N (0.4477, 0.8954, 0.7500)  2 Co 1.91
Ti (0.6302, 0.2604, 0.4474)  4 N 2.01-2.22
N (0.5523, 0.1046, 0.2500)  2 Co 1.91
N (0.7253, 0.4506, 0.6140)  1 Co 1.89, 1 Ti 2.01
Co (0.1560, 0.3120, 0.2500)  4 N 1.89-1.91
N (0.2747, 0.5494, 0.1140)  1 Co 1.89, 1 Ti 2.01
N (0.2747, 0.5494, 0.3860)  1 Co 1.89, 1 Ti 2.01
N (0.0000, 0.0000, 0.5000)  4 Ti 2.15

---

A plane-wave DFT calculation with GGA-PBE was carried out for a relaxed structure of PaTiCoN3.

Values from the calculation:
Formation energy from raw total energies ... -1.120 eV per atom
Space-group type ... P2_1/m (11)

Lattice parameters (Å, degrees): 3.1703 6.5580 7.0351 103.33 90.00 90.00
Last column: nearest neighbours and their distance in Å.
Sites, in units of the cell vectors:
N (0.7500, 0.1948, 0.4831)  3 Co 1.91-2.00
N (0.7500, 0.8788, 0.1232)  1 Co 1.94, 2 Ti 2.17
Co (0.7500, 0.8812, 0.3998)  4 N 1.91-2.00
Pa (0.7500, 0.8164, 0.7856)  7 N 2.32-2.52
Co (0.2500, 0.1188, 0.6002)  4 N 1.91-2.00
N (0.2500, 0.8052, 0.5169)  3 Co 1.91-2.00
Pa (0.2500, 0.1836, 0.2144)  7 N 2.32-2.52
Ti (0.7500, 0.3394, 0.8528)  5 N 2.05-2.19
Ti (0.2500, 0.6606, 0.1472)  5 N 2.05-2.19
N (0.2500, 0.5699, 0.8487)  3 Ti 2.05-2.19
N (0.7500, 0.4301, 0.1513)  3 Ti 2.05-2.19
N (0.2500, 0.1212, 0.8768)  1 Co 1.94, 2 Ti 2.17

---

A plane-wave DFT calculation with GGA-PBE was carried out for a relaxed structure of Pa2TiCoN5.

Values from the calculation:
Formation energy from raw total energies ... -1.227 eV per atom
Space-group type ... Cmc2_1 (36)

Lattice parameters (Å, degrees): 3.2525 6.5767 10.0269 90.00 90.00 104.32
Last column: nearest neighbours and their distance in Å.
Sites, in units of the cell vectors:
N (0.0524, 0.1048, 0.0662)  1 Ti 1.92, 2 Co 2.00
N (0.6327, 0.2654, 0.4972)  1 Co 2.11, 1 Ti 2.18
Pa (0.1049, 0.2098, 0.6797)  6 N 2.25-2.47
Pa (0.8951, 0.7902, 0.1797)  6 N 2.25-2.47
N (0.3227, 0.6453, 0.3746)  1 Co 2.05, 2 Ti 2.13
N (0.7190, 0.4381, 0.1609)  2 Ti 2.24, 3 Pa 2.25-2.39
N (0.3673, 0.7346, 0.9972)  1 Co 2.11, 1 Ti 2.18
Ti (0.1963, 0.3927, 0.0100)  3 N 1.92-2.13
N (0.5125, 0.0251, 0.2727)  1 Co 1.90
Pa (0.1454, 0.2907, 0.3082)  7 N 2.36-2.50
N (0.2810, 0.5619, 0.6609)  2 Ti 2.24, 3 Pa 2.25-2.39
N (0.6773, 0.3547, 0.8746)  1 Co 2.05, 2 Ti 2.13
Co (0.5296, 0.0592, 0.9546)  5 N 1.90-2.11
N (0.4875, 0.9749, 0.7727)  1 Co 1.90
Ti (0.8037, 0.6073, 0.5100)  3 N 1.92-2.13
Co (0.4704, 0.9408, 0.4546)  5 N 1.90-2.11
Pa (0.8546, 0.7093, 0.8082)  7 N 2.36-2.50
N (0.9476, 0.8952, 0.5662)  1 Ti 1.92, 2 Co 2.00

---

A plane-wave DFT calculation with GGA-PBE was carried out for a relaxed structure of TmPa2CoN5.

Values from the calculation:
Formation energy from raw total energies ... -1.158 eV per atom
Space-group type ... Cmc2_1 (36)

Lattice parameters (Å, degrees): 3.3405 6.8325 10.1562 90.00 90.00 104.15
Last column: nearest neighbours and their distance in Å.
Sites, in units of the cell vectors:
Pa (0.1061, 0.2123, 0.6849)  2 N 2.25-2.32
Tm (0.1968, 0.3936, 0.0035)  6 N 2.20-2.43
N (0.5182, 0.0364, 0.2781)  1 Co 1.89
Co (0.4828, 0.9656, 0.4582)  4 N 1.89-2.04
N (0.6671, 0.3341, 0.8557)  1 Co 2.24, 2 Tm 2.28
N (0.6300, 0.2601, 0.4964)  1 Co 1.99
N (0.4818, 0.9636, 0.7781)  1 Co 1.89
N (0.2812, 0.5624, 0.6753)  3 Pa 2.32-2.36, 2 Tm 2.43
Tm (0.8032, 0.6064, 0.5035)  6 N 2.20-2.43
Pa (0.1400, 0.2800, 0.3028)  7 N 2.34-2.61
Pa (0.8600, 0.7200, 0.8028)  7 N 2.34-2.61
Pa (0.8939, 0.7877, 0.1849)  2 N 2.25-2.32
N (0.3700, 0.7399, 0.9964)  1 Co 1.99
N (0.0389, 0.0778, 0.0691)  2 Co 2.04, 1 Tm 2.20, 1 Pa 2.25
Co (0.5172, 0.0344, 0.9582)  4 N 1.89-2.04
N (0.9611, 0.9222, 0.5691)  2 Co 2.04, 1 Tm 2.20, 1 Pa 2.25
N (0.3329, 0.6659, 0.3557)  1 Co 2.24, 2 Tm 2.28
N (0.7188, 0.4376, 0.1753)  3 Pa 2.32-2.36, 2 Tm 2.43

---

A plane-wave DFT calculation with GGA-PBE was carried out for a relaxed structure of UPa2CoN5.

Values from the calculation:
Formation energy from raw total energies ... -1.119 eV per atom
Space-group type ... Cmc2_1 (36)

Lattice parameters (Å, degrees): 3.4050 6.7049 10.3464 90.00 90.00 104.71
Last column: nearest neighbours and their distance in Å.
Sites, in units of the cell vectors:
N (0.4784, 0.9568, 0.7742)  1 Co 1.91
Pa (0.1432, 0.2864, 0.3077)  5 N 2.35-2.55
U (0.2006, 0.4012, 0.0095)  2 N 2.07-2.20
Co (0.5194, 0.0389, 0.9512)  5 N 1.91-2.10
N (0.6655, 0.3310, 0.8634)  1 Co 2.10, 2 U 2.32
N (0.5216, 0.0432, 0.2742)  1 Co 1.91
N (0.3700, 0.7400, 0.0027)  1 Co 2.01, 1 U 2.20
N (0.7227, 0.4454, 0.1633)  3 Pa 2.33-2.49, 2 U 2.35
Co (0.4806, 0.9611, 0.4512)  5 N 1.91-2.10
N (0.9524, 0.9049, 0.5651)  1 U 2.07, 2 Co 2.10, 1 Pa 2.28
N (0.6300, 0.2600, 0.5027)  1 Co 2.01, 1 U 2.20
Pa (0.0988, 0.1975, 0.6869)  4 N 2.28-2.48
N (0.2773, 0.5546, 0.6633)  3 Pa 2.33-2.49, 2 U 2.35
Pa (0.9012, 0.8025, 0.1869)  4 N 2.28-2.48
N (0.3345, 0.6690, 0.3634)  1 Co 2.10, 2 U 2.32
Pa (0.8568, 0.7136, 0.8077)  5 N 2.35-2.55
N (0.0476, 0.0951, 0.0651)  1 U 2.07, 2 Co 2.10, 1 Pa 2.28
U (0.7994, 0.5988, 0.5095)  2 N 2.07-2.20

---

A plane-wave DFT calculation with GGA-PBE was carried out for a relaxed structure of U2PaCoN4.

Values from the calculation:
Formation energy from raw total energies ... -1.162 eV per atom
Space-group type ... Cmcm (63)

Lattice parameters (Å, degrees): 3.3823 5.8255 11.3175 90.00 90.00 106.88
Last column: nearest neighbours and their distance in Å.
Sites, in units of the cell vectors:
N (0.4560, 0.9121, 0.7500)  2 Co 2.10
Co (0.8451, 0.6902, 0.7500)  4 N 1.98-2.10
N (0.2783, 0.5567, 0.3760)  1 Co 1.98
N (0.5440, 0.0879, 0.2500)  2 Co 2.10
U (0.3681, 0.7363, 0.5595)  6 N 2.31-2.46
N (0.0000, 0.0000, 0.0000)  4 U 2.34
N (0.0000, 0.0000, 0.5000)  4 U 2.34
U (0.6319, 0.2637, 0.4405)  6 N 2.31-2.46
N (0.7217, 0.4433, 0.8760)  1 Co 1.98
Pa (0.8888, 0.7776, 0.2500)  6 N 2.42-2.53
Co (0.1549, 0.3098, 0.2500)  4 N 1.98-2.10
N (0.2783, 0.5567, 0.1240)  1 Co 1.98
U (0.6319, 0.2637, 0.0595)  6 N 2.31-2.46
Pa (0.1112, 0.2224, 0.7500)  6 N 2.42-2.53
U (0.3681, 0.7363, 0.9405)  6 N 2.31-2.46
N (0.7217, 0.4433, 0.6240)  1 Co 1.98

---

A plane-wave DFT calculation with GGA-PBE was carried out for a relaxed structure of Pa2CoWN5.

Values from the calculation:
Formation energy from raw total energies ... -0.939 eV per atom
Space-group type ... Cmc2_1 (36)

Lattice parameters (Å, degrees): 3.2267 6.8020 9.9519 90.00 90.00 103.72
Last column: nearest neighbours and their distance in Å.
Sites, in units of the cell vectors:
N (0.3124, 0.6247, 0.3675)  1 Co 2.02, 2 W 2.15
W (0.8076, 0.6153, 0.5108)  6 N 1.99-2.20
Co (0.5478, 0.0956, 0.9505)  4 N 1.91-2.02
Pa (0.1086, 0.2171, 0.6811)  6 N 2.36-2.45
W (0.1924, 0.3847, 0.0108)  6 N 1.99-2.20
Pa (0.1372, 0.2744, 0.3112)  7 N 2.37-2.51
N (0.2877, 0.5753, 0.6593)  2 W 2.20, 3 Pa 2.38-2.42
N (0.0477, 0.0954, 0.0667)  2 Co 1.98, 1 W 1.99
Co (0.4522, 0.9044, 0.4505)  4 N 1.91-2.02
N (0.3520, 0.7039, 0.0033)  1 W 2.11
N (0.4914, 0.9828, 0.7734)  1 Co 1.91
N (0.5086, 0.0172, 0.2734)  1 Co 1.91
N (0.6876, 0.3753, 0.8675)  1 Co 2.02, 2 W 2.15
Pa (0.8914, 0.7829, 0.1811)  6 N 2.36-2.45
N (0.9523, 0.9046, 0.5667)  2 Co 1.98, 1 W 1.99
Pa (0.8628, 0.7256, 0.8112)  7 N 2.37-2.51
N (0.6480, 0.2961, 0.5033)  1 W 2.11
N (0.7123, 0.4247, 0.1593)  2 W 2.20, 3 Pa 2.38-2.42

---

A plane-wave DFT calculation with GGA-PBE was carried out for a relaxed structure of YPa2CoN5.

Values from the calculation:
Formation energy from raw total energies ... -1.105 eV per atom
Space-group type ... Cmc2_1 (36)

Lattice parameters (Å, degrees): 3.3579 6.9280 10.1356 90.00 90.00 104.02
Last column: nearest neighbours and their distance in Å.
Sites, in units of the cell vectors:
N (0.5193, 0.0387, 0.2785)  1 Co 1.89
N (0.7184, 0.4367, 0.1807)  3 Pa 2.35-2.37, 2 Y 2.49
N (0.3397, 0.6793, 0.3512)  1 Co 2.21, 2 Y 2.32
N (0.4807, 0.9613, 0.7785)  1 Co 1.89
Pa (0.1050, 0.2101, 0.6839)  4 N 2.25-2.50
N (0.0393, 0.0786, 0.0712)  2 Co 2.05, 1 Y 2.24, 1 Pa 2.25
N (0.9607, 0.9214, 0.5712)  2 Co 2.05, 1 Y 2.24, 1 Pa 2.25
N (0.2816, 0.5633, 0.6807)  3 Pa 2.35-2.37, 2 Y 2.49
Y (0.1973, 0.3945, 0.0009)  6 N 2.24-2.49
Co (0.4831, 0.9662, 0.4588)  4 N 1.89-2.05
N (0.6603, 0.3207, 0.8512)  1 Co 2.21, 2 Y 2.32
Pa (0.8634, 0.7268, 0.8005)  4 N 2.31-2.35
N (0.6287, 0.2574, 0.4982)  1 Co 2.00
Co (0.5169, 0.0338, 0.9588)  4 N 1.89-2.05
Pa (0.8950, 0.7899, 0.1839)  4 N 2.25-2.50
Pa (0.1366, 0.2732, 0.3005)  4 N 2.31-2.35
N (0.3713, 0.7426, 0.9982)  1 Co 2.00
Y (0.8027, 0.6055, 0.5009)  6 N 2.24-2.49

---

A plane-wave DFT calculation with GGA-PBE was carried out for a relaxed structure of YPaCoN4.

Values from the calculation:
Formation energy from raw total energies ... -0.793 eV per atom
Space-group type ... P2_1/m (11)

Lattice parameters (Å, degrees): 5.6269 4.9562 6.7701 90.00 108.35 90.00
Last column: nearest neighbours and their distance in Å.
Sites, in units of the cell vectors:
Pa (0.7547, 0.7500, 0.4460)  6 N 2.26-2.44
N (0.0165, 0.4970, 0.7448)  1 Co 1.78
N (0.0165, 0.0030, 0.7448)  1 Co 1.78
Y (0.2933, 0.2500, 0.0612)  4 N 2.30-2.57
Co (0.2218, 0.7500, 0.2869)  4 N 1.78-1.83
N (0.5570, 0.2500, 0.8612)  1 Co 1.83
N (0.4083, 0.7500, 0.5632)  1 Co 1.83
Y (0.7067, 0.7500, 0.9388)  4 N 2.30-2.57
N (0.5917, 0.2500, 0.4368)  1 Co 1.83
N (0.9835, 0.5030, 0.2552)  1 Co 1.78
N (0.9835, 0.9970, 0.2552)  1 Co 1.78
Pa (0.2453, 0.2500, 0.5540)  6 N 2.26-2.44
N (0.4430, 0.7500, 0.1388)  1 Co 1.83
Co (0.7782, 0.2500, 0.7131)  4 N 1.78-1.83

---

A plane-wave DFT calculation with GGA-PBE was carried out for a relaxed structure of Zr2PaCoN4.

Values from the calculation:
Formation energy from raw total energies ... -1.371 eV per atom
Space-group type ... Cmcm (63)

Lattice parameters (Å, degrees): 3.2508 5.6584 11.0623 90.00 90.00 106.69
Last column: nearest neighbours and their distance in Å.
Sites, in units of the cell vectors:
Zr (0.3687, 0.7375, 0.9420)  6 N 2.22-2.37
N (0.7232, 0.4464, 0.8791)  1 Co 1.94
Zr (0.3687, 0.7375, 0.5580)  6 N 2.22-2.37
Co (0.1552, 0.3105, 0.2500)  4 N 1.94-2.02
N (0.4560, 0.9120, 0.7500)  2 Co 2.02
Zr (0.6313, 0.2625, 0.0580)  6 N 2.22-2.37
Pa (0.1097, 0.2194, 0.7500)  6 N 2.33-2.49
Zr (0.6313, 0.2625, 0.4420)  6 N 2.22-2.37
N (0.2768, 0.5536, 0.1209)  1 Co 1.94
N (0.0000, 0.0000, 0.5000)  4 Zr 2.25
N (0.2768, 0.5536, 0.3791)  1 Co 1.94
N (0.7232, 0.4464, 0.6209)  1 Co 1.94
N (0.0000, 0.0000, 0.0000)  4 Zr 2.25
Co (0.8448, 0.6895, 0.7500)  4 N 1.94-2.02
Pa (0.8903, 0.7806, 0.2500)  6 N 2.33-2.49
N (0.5440, 0.0880, 0.2500)  2 Co 2.02